(w)
DFT (PBE) results for an optimized crystal structure of NdHo2Cu4Sn2Ge2.

Cell lengths 8.2683, 8.2683, 8.2683 Å; angles 149.91, 129.54, 59.88 degrees
Sites, in units of the cell vectors:
Ge: 0.2187 0.2187 0.0000
Ge: 0.7813 0.7813 0.0000
Sn: 0.3026 0.5000 0.8026
Sn: 0.6974 0.5000 0.1974
Cu: 0.0097 0.3225 0.6872
Cu: 0.3647 0.6775 0.6872
Cu: 0.9903 0.6775 0.3128
Cu: 0.6353 0.3225 0.3128
Ho: 0.3648 0.8648 0.5000
Ho: 0.6352 0.1352 0.5000
Nd: 0.0000 0.0000 0.0000

Output
Theoretical density ... 8.51 Mg/m³

---

(x)
DFT (PBE) results for an optimized crystal structure of NdHo2Cu4Sn2Ge2.

Cell lengths 8.3202, 8.3202, 8.3202 Å; angles 149.67, 131.91, 57.92 degrees
Sites, in units of the cell vectors:
Sn: 0.2200 0.2200 0.0000
Sn: 0.7800 0.7800 0.0000
Ge: 0.6862 0.5000 0.1862
Ge: 0.3138 0.5000 0.8138
Ho: 0.3752 0.8752 0.5000
Ho: 0.6248 0.1248 0.5000
Cu: 0.6518 0.3408 0.3109
Cu: 0.3482 0.6592 0.6891
Cu: 0.0299 0.3408 0.6891
Cu: 0.9701 0.6592 0.3109
Nd: 0.0000 0.0000 0.0000

Output
Theoretical density ... 8.59 Mg/m³

---

Energies, relative to the best one, in eV/atom: (w) 0.073; (x) 0.000.

---

(w)
DFT (PBE) results for an optimized crystal structure of Nd2HoCu4Sn2Ge2.

Cell lengths 8.3722, 8.3722, 8.3722 Å; angles 149.08, 132.71, 57.58 degrees
Sites, in units of the cell vectors:
Sn: 0.2155 0.2155 0.0000
Sn: 0.7845 0.7845 0.0000
Cu: 0.0276 0.3413 0.6863
Cu: 0.9724 0.6587 0.3137
Cu: 0.3450 0.6587 0.6863
Cu: 0.6550 0.3413 0.3137
Ho: 0.0000 0.0000 0.0000
Ge: 0.3066 0.5000 0.8066
Ge: 0.6934 0.5000 0.1934
Nd: 0.3724 0.8724 0.5000
Nd: 0.6276 0.1276 0.5000

Output
Theoretical density ... 8.23 Mg/m³

---

(x)
DFT (PBE) results for an optimized crystal structure of Nd2HoCu4Sn2Ge2.

Cell lengths 8.3870, 8.3870, 8.3870 Å; angles 149.51, 131.45, 58.42 degrees
Sites, in units of the cell vectors:
Ge: 0.7865 0.7865 0.0000
Ge: 0.2135 0.2135 0.0000
Nd: 0.6365 0.1365 0.5000
Nd: 0.3635 0.8635 0.5000
Cu: 0.3605 0.6747 0.6859
Cu: 0.9888 0.6747 0.3141
Cu: 0.6395 0.3253 0.3141
Cu: 0.0112 0.3253 0.6859
Ho: 0.0000 0.0000 0.0000
Sn: 0.2947 0.5000 0.7947
Sn: 0.7053 0.5000 0.2053

Output
Theoretical density ... 8.13 Mg/m³

---

Energies, relative to the best one, in eV/atom: (w) 0.000; (x) 0.071.

---

(w)
DFT (PBE) results for an optimized crystal structure of TbHo2Cu4Sn2Ge2.

Cell lengths 8.2270, 8.2270, 8.2270 Å; angles 149.82, 130.06, 59.47 degrees
Sites, in units of the cell vectors:
Ge: 0.2167 0.2167 0.0000
Ge: 0.7833 0.7833 0.0000
Cu: 0.9893 0.6776 0.3118
Cu: 0.0107 0.3224 0.6882
Cu: 0.6342 0.3224 0.3118
Cu: 0.3658 0.6776 0.6882
Sn: 0.7011 0.5000 0.2011
Sn: 0.2989 0.5000 0.7989
Tb: 0.0000 0.0000 0.0000
Ho: 0.6353 0.1353 0.5000
Ho: 0.3647 0.8647 0.5000

Output
Theoretical density ... 8.79 Mg/m³

---

(x)
DFT (PBE) results for an optimized crystal structure of TbHo2Cu4Sn2Ge2.

Cell lengths 8.2619, 8.2619, 8.2619 Å; angles 149.56, 132.05, 57.86 degrees
Sites, in units of the cell vectors:
Ho: 0.6248 0.1248 0.5000
Ho: 0.3752 0.8752 0.5000
Cu: 0.6505 0.3403 0.3102
Cu: 0.0301 0.3403 0.6898
Cu: 0.9699 0.6597 0.3102
Cu: 0.3495 0.6597 0.6898
Tb: 0.0000 0.0000 0.0000
Sn: 0.7816 0.7816 0.0000
Sn: 0.2184 0.2184 0.0000
Ge: 0.6903 0.5000 0.1903
Ge: 0.3097 0.5000 0.8097

Output
Theoretical density ... 8.88 Mg/m³

---

Energies, relative to the best one, in eV/atom: (w) 0.065; (x) 0.000.

---

(w)
DFT (PBE) results for an optimized crystal structure of HoCuGeTe3.

Cell lengths 12.0535, 4.2752, 12.1579 Å; angles 90.00, 90.00, 90.00 degrees
Sites, in units of the cell vectors:
Te: 0.5398 0.5000 0.6230
Te: 0.2076 0.5000 0.1757
Te: 0.2924 0.0000 0.6757
Te: 0.9602 0.0000 0.1230
Te: 0.7076 0.5000 0.3243
Te: 0.7924 0.0000 0.8243
Te: 0.1057 0.0000 0.4370
Te: 0.3943 0.5000 0.9370
Te: 0.0398 0.5000 0.8770
Te: 0.4602 0.0000 0.3770
Te: 0.6057 0.0000 0.0630
Te: 0.8943 0.5000 0.5630
Cu: 0.2649 0.0000 0.2886
Cu: 0.7351 0.5000 0.7114
Cu: 0.2351 0.5000 0.7886
Cu: 0.7649 0.0000 0.2114
Ge: 0.1842 0.0000 0.9822
Ge: 0.3158 0.5000 0.4822
Ge: 0.8158 0.5000 0.0178
Ge: 0.6842 0.0000 0.5178
Ho: 0.0310 0.0000 0.6884
Ho: 0.5310 0.0000 0.8116
Ho: 0.9690 0.5000 0.3116
Ho: 0.4690 0.5000 0.1884

Output
Theoretical density ... 7.25 Mg/m³

---

(x)
DFT (PBE) results for an optimized crystal structure of HoCuGeTe3.

Cell lengths 7.4104, 7.4104, 11.0295 Å; angles 90.00, 90.00, 32.32 degrees
Sites, in units of the cell vectors:
Te: 0.3505 0.3505 0.4286
Te: 0.3505 0.3505 0.0714
Te: 0.6495 0.6495 0.9286
Te: 0.6495 0.6495 0.5714
Te: 0.9056 0.9056 0.7500
Te: 0.0944 0.0944 0.2500
Cu: 0.4751 0.4751 0.2500
Cu: 0.5249 0.5249 0.7500
Ge: 0.7791 0.7791 0.2500
Ge: 0.2209 0.2209 0.7500
Ho: 0.0000 0.0000 0.0000
Ho: 0.0000 0.0000 0.5000

Output
Theoretical density ... 7.01 Mg/m³

---

Energies, relative to the best one, in eV/atom: (w) 0.034; (x) 0.000.

---

(w)
DFT (PBE) results for an optimized crystal structure of InCu3GeS4.

Cell lengths 5.6957, 5.6957, 5.6957 Å; angles 90.00, 90.00, 90.00 degrees
Sites, in units of the cell vectors:
Cu: 0.5000 0.5000 0.0000
Cu: 0.5000 0.0000 0.5000
Cu: 0.0000 0.5000 0.5000
Ge: 0.5000 0.5000 0.5000
In: 0.0000 0.0000 0.0000
S: 0.2538 0.7462 0.7462
S: 0.2538 0.2538 0.2538
S: 0.7462 0.2538 0.7462
S: 0.7462 0.7462 0.2538

Output
Theoretical density ... 4.55 Mg/m³

---

(x)
DFT (PBE) results for an optimized crystal structure of InCu3GeS4.

Cell lengths 5.7673, 7.1953, 9.4362 Å; angles 90.00, 107.06, 90.00 degrees
Sites, in units of the cell vectors:
Cu: 0.8083 0.5634 0.0340
Cu: 0.8083 0.9366 0.0340
Cu: 0.0388 0.2500 0.7086
Cu: 0.1917 0.0634 0.9660
Cu: 0.1917 0.4366 0.9660
Cu: 0.9612 0.7500 0.2914
S: 0.3033 0.2500 0.5790
S: 0.6967 0.7500 0.4210
S: 0.8429 0.9951 0.7826
S: 0.8429 0.5049 0.7826
S: 0.4713 0.7500 0.9938
S: 0.1571 0.4951 0.2174
S: 0.1571 0.0049 0.2174
S: 0.5287 0.2500 0.0062
In: 0.6473 0.2500 0.3937
In: 0.3527 0.7500 0.6063
Ge: 0.3901 0.7500 0.2159
Ge: 0.6099 0.2500 0.7841

Output
Theoretical density ... 4.49 Mg/m³

---

Energies, relative to the best one, in eV/atom: (w) 0.046; (x) 0.000.

---

(w)
DFT (PBE) results for an optimized crystal structure of NbCuGeIr.

Cell lengths 4.4142, 4.4142, 4.4142 Å; angles 60.00, 60.00, 60.00 degrees
Sites, in units of the cell vectors:
Ge: 0.0000 0.0000 0.0000
Ir: 0.2500 0.2500 0.2500
Nb: 0.5000 0.5000 0.5000
Cu: 0.7500 0.7500 0.7500

Output
Theoretical density ... 11.50 Mg/m³

---

(x)
DFT (PBE) results for an optimized crystal structure of NbCuGeIr.

Cell lengths 4.4162, 4.4162, 4.4162 Å; angles 60.00, 60.00, 60.00 degrees
Sites, in units of the cell vectors:
Nb: 0.2500 0.2500 0.2500
Cu: 0.7500 0.7500 0.7500
Ge: 0.0000 0.0000 0.0000
Ir: 0.5000 0.5000 0.5000

Output
Theoretical density ... 11.49 Mg/m³

---

Energies, relative to the best one, in eV/atom: (w) 0.027; (x) 0.000.